(1)
Ac4TbEr, relaxed, DFT GGA-PBE; SG = No. 216; energy relative to the lowest polymorph listed for this composition = 223 meV/atom; volume = 255.6 Å³/f.u.; raw total energy = -23.264 eV per cell; formation enthalpy at 0 K = 0.39 eV per atom; magnetization = 0.00 μB/cell
1.0
7.124 0.000 0.000
3.562 6.169 0.000
3.562 2.056 5.816
Ac Tb Er
4 1 1
direct
0.625 0.625 0.124
0.625 0.124 0.625
0.625 0.625 0.625
0.124 0.625 0.625
0.250 0.250 0.250
0.000 0.000 0.000

(2)
CrSb2Pt, relaxed, DFT GGA-PBE; SG = No. 65; energy relative to the lowest polymorph listed for this composition = 280 meV/atom; volume = 80.1 Å³/f.u.; formation energy without anion corrections = 183 meV per atom; raw total energy = -23.177 eV per cell; magnetization = 3.48 μB/cell
1.0
3.433 -0.005 0.000
-0.519 3.394 0.000
0.000 0.000 6.878
Cr Pt Sb
1 1 2
direct
0.500 0.500 0.250
0.500 0.500 0.750
0.000 0.000 0.998
0.000 0.000 0.502

(3)
MnGeCN, relaxed, DFT GGA-PBE; SG = No. 8; energy relative to the lowest polymorph listed for this composition = 231 meV/atom; volume = 43.2 Å³/f.u.; formation energy without anion corrections = 513 meV per atom; raw total energy = -58.569 eV per cell; magnetization = 0.00 μB/cell
1.0
-4.227 -1.699 2.599
1.578 -0.634 2.152
2.176 6.725 0.384
Ge Mn C N
2 2 2 2
direct
0.508 0.000 0.891
0.508 0.500 0.391
0.032 0.000 0.235
0.032 0.500 0.735
0.776 0.000 0.762
0.776 0.500 0.262
0.048 0.000 0.950
0.048 0.500 0.450

(4)
TiZn3Cu, relaxed, DFT GGA-PBE; SG = No. 63; energy relative to the lowest polymorph listed for this composition = 0 meV/atom; volume = 73.9 Å³/f.u.; raw total energy = -31.732 eV per cell; formation enthalpy at 0 K = -0.01 eV per atom; magnetization = 1.32 μB/cell
1.0
-2.495 3.578 -0.065
-4.382 -3.073 -1.001
-2.239 1.210 6.086
Ti Zn Cu
2 6 2
direct
0.595 0.750 0.310
0.405 0.250 0.690
0.194 0.994 0.113
0.806 0.006 0.887
0.194 0.506 0.113
0.806 0.494 0.887
0.979 0.750 0.542
0.021 0.250 0.458
0.372 0.750 0.757
0.628 0.250 0.243